1.
Entry from Alexandria via LeMat-Bulk: an optimized crystal structure of NaHgOF (PBE).

Summary:
E_form (uncorrected)	-1.39	eV per atom
spin magnetization	0.0000	μB per atom
density	6.232	g/cm³

Lattice parameters (Å, degrees): 3.756 3.903 5.361 90.00 90.00 118.76
Fractional coordinates of all 4 atoms:
Na 0.165 0.330 0.500
Hg 0.844 0.689 0.000
O 0.163 0.327 0.000
F 0.839 0.679 0.500

***

2.
Entry from Alexandria via LeMat-Bulk: an optimized crystal structure of NaHgO2F (PBE).

Summary:
E_form (uncorrected)	-0.58	eV per atom
spin magnetization	0.1442	μB per atom
density	5.557	g/cm³

Lattice parameters (Å, degrees): 4.141 4.141 4.786 90.00 90.00 90.00
Site moments in Bohr magnetons follow the coordinates.
Fractional coordinates of all 5 atoms:
Na 0.500 0.500 0.500  0.00
Hg 0.000 0.000 0.000  -0.01
O 0.000 0.500 0.000  -0.30
O 0.500 0.000 0.000  -0.30
F 0.000 0.000 0.500  0.01

***

3.
Entry from Alexandria via LeMat-Bulk: an optimized crystal structure of NaHgO2F (PBE).

Summary:
E_form (uncorrected)	-0.10	eV per atom
spin magnetization	0.4119	μB per atom
density	6.276	g/cm³

Lattice parameters (Å, degrees): 4.207 4.207 4.104 90.00 90.00 90.00
Site moments in Bohr magnetons follow the coordinates.
Fractional coordinates of all 5 atoms:
Na 0.000 0.000 0.000  0.01
Hg 0.500 0.500 0.500  -0.09
O 0.000 0.500 0.000  0.89
O 0.500 0.000 0.000  0.89
F 0.000 0.000 0.500  0.03

***

4.
Entry from Alexandria via LeMat-Bulk: an optimized crystal structure of Na2HgOF (PBE).

Summary:
E_form (uncorrected)	-0.94	eV per atom
spin magnetization	0.0000	μB per atom
density	5.039	g/cm³

Lattice parameters (Å, degrees): 4.269 4.269 5.093 90.00 90.00 90.00
Fractional coordinates of all 5 atoms:
Na 0.000 0.500 0.000
Na 0.500 0.000 0.000
Hg 0.000 0.000 0.500
O 0.500 0.500 0.500
F 0.000 0.000 0.000